[1]
This record from the Alexandria database describes a relaxed structure of AsPRh2. The functional is PBEsol.

Results
Crystal system: orthorhombic
Offset from the most stable computed form in meV per atom: 445.4
Theoretical density in g/cm3: 9.06

Cell: 2.851 4.031 4.968 Å, 90.00 90.00 90.00°
Fractional positions:
1 As 0.000 0.000 0.000
2 P 0.500 0.000 0.500
3 Rh 0.000 0.500 0.500
4 Rh 0.500 0.500 0.000



[2]
This record from the Alexandria database describes a relaxed structure of NaSc3Pb. The functional is PBEsol.

Results
Raw total energy in eV per atom: -4.23
Crystal system: cubic
Theoretical density in g/cm3: 4.68

Cell: 5.059 5.059 5.059 Å, 90.00 90.00 90.00°
Fractional positions:
1 Na 0.000 0.000 0.000
2 Sc 0.000 0.000 0.500
3 Sc 0.000 0.500 0.000
4 Sc 0.500 0.000 0.000
5 Pb 0.500 0.500 0.500



[3]
This record from the Alexandria database describes a relaxed structure of BaRh3. The functional is PBEsol.

Results
Raw total energy in eV per atom: -6.25
Crystal system: orthorhombic
Theoretical density in g/cm3: 9.51

Cell: 2.913 4.267 6.262 Å, 90.00 90.00 90.00°
Fractional positions:
1 Ba 0.000 0.000 0.000
2 Rh 0.000 0.500 0.378
3 Rh 0.500 0.000 0.481
4 Rh 0.500 0.500 0.713



[4]
This record from the Alexandria database describes a relaxed structure of BaCrSb2. The functional is PBEsol.

Results
Crystal system: trigonal
Formation energy (no corrections) in eV per atom: -0.3137
Theoretical density in g/cm3: 6.36

Cell: 7.101 7.101 7.101 Å, 36.42 36.42 36.42°
Fractional positions:
1 Ba 0.000 0.000 0.000
2 Cr 0.500 0.500 0.500
3 Sb 0.220 0.220 0.220
4 Sb 0.780 0.780 0.780



[5]
This record from the Alexandria database describes a relaxed structure of AlTcRu. The functional is PBEsol.

Results
Crystal system: orthorhombic
Offset from the most stable computed form in meV per atom: 149.4
Theoretical density in g/cm3: 9.15

Cell: 4.639 4.639 4.639 Å, 145.00 133.68 59.35°
Fractional positions:
1 Al 0.000 0.000 0.000
2 Tc 0.329 0.329 0.000
3 Ru 0.666 0.666 0.000



[6]
This record from the Alexandria database describes a relaxed structure of Ag2PtAu. The functional is PBEsol.

Results
Crystal system: tetragonal
Offset from the most stable computed form in meV per atom: 31.3
Theoretical density in g/cm3: 15.67

Cell: 3.960 3.960 4.109 Å, 90.00 90.00 90.00°
Fractional positions:
1 Ag 0.000 0.500 0.000
2 Ag 0.500 0.000 0.000
3 Pt 0.000 0.000 0.500
4 Au 0.500 0.500 0.500



[7]
This record from the Alexandria database describes a relaxed structure of ZrAlTc2. The functional is PBEsol.

Results
Raw total energy in eV per atom: -8.87
Crystal system: trigonal
Theoretical density in g/cm3: 8.11

Cell: 8.181 8.181 8.181 Å, 21.48 21.48 21.48°
Fractional positions:
1 Zr 0.000 0.000 0.000
2 Al 0.500 0.500 0.500
3 Tc 0.247 0.247 0.247
4 Tc 0.753 0.753 0.753



[8]
This record from the Alexandria database describes a relaxed structure of MnCrFe. The functional is PBEsol.

Results
Crystal system: tetragonal
Offset from the most stable computed form in meV per atom: 11.9
Theoretical density in g/cm3: 8.21

Cell: 4.571 4.571 4.571 Å, 143.94 143.94 51.92°
Fractional positions:
1 Mn 0.000 0.000 0.000
2 Cr 0.660 0.660 0.000
3 Fe 0.325 0.325 0.000



[9]
This record from the Alexandria database describes a relaxed structure of NbCr2BiSe. The functional is PBEsol.

Results
Crystal system: tetragonal
Formation energy (no corrections) in eV per atom: 1.9445
Theoretical density in g/cm3: 5.67

Cell: 5.036 5.036 5.602 Å, 90.00 90.00 90.00°
Fractional positions:
1 Nb 0.000 0.000 0.000
2 Cr 0.000 0.500 0.500
3 Cr 0.500 0.000 0.500
4 Bi 0.500 0.500 0.500
5 Se 0.500 0.500 0.000



[10]
This record from the Alexandria database describes a relaxed structure of BaSbPt4. The functional is PBEsol.

Results
Crystal system: cubic
Formation energy (no corrections) in eV per atom: -0.3315
Theoretical density in g/cm3: 14.82

Cell: 5.482 5.482 5.482 Å, 60.00 60.00 60.00°
Fractional positions:
1 Ba 0.000 0.000 0.000
2 Sb 0.250 0.250 0.250
3 Pt 0.127 0.624 0.624
4 Pt 0.624 0.127 0.624
5 Pt 0.624 0.624 0.127
6 Pt 0.624 0.624 0.624



[11]
This record from the Alexandria database describes a relaxed structure of LiHgCl2. The functional is PBEsol.

Results
Crystal system: tetragonal
Formation energy (no corrections) in eV per atom: -0.8481
Theoretical density in g/cm3: 4.86

Cell: 7.076 7.076 7.076 Å, 148.74 148.74 44.79°
Fractional positions:
1 Li 0.000 0.000 0.000
2 Hg 0.250 0.750 0.500
3 Cl 0.500 0.500 0.000
4 Cl 0.750 0.250 0.500



[12]
This record from the Alexandria database describes a relaxed structure of ScCo2Mo. The functional is PBEsol.

Results
Raw total energy in eV per atom: -8.35
Crystal system: tetragonal
Theoretical density in g/cm3: 7.82

Cell: 2.687 2.687 7.612 Å, 90.00 90.00 90.00°
Fractional positions:
1 Sc 0.000 0.000 0.000
2 Co 0.000 0.000 0.444
3 Co 0.500 0.500 0.260
4 Mo 0.500 0.500 0.689



[13]
This record from the Alexandria database describes a relaxed structure of Cu3Ni. The functional is PBEsol.

Results
Raw total energy in eV per atom: -4.78
Crystal system: tetragonal
Theoretical density in g/cm3: 9.44

Cell: 7.403 7.403 7.403 Å, 152.25 152.25 39.64°
Fractional positions:
1 Cu 0.000 0.500 0.500
2 Cu 0.125 0.125 0.000
3 Cu 0.250 0.750 0.500
4 Cu 0.500 0.000 0.500
5 Cu 0.750 0.250 0.500
6 Cu 0.875 0.875 0.000
7 Ni 0.375 0.375 0.000
8 Ni 0.625 0.625 0.000



[14]
This record from the Alexandria database describes a relaxed structure of Ba2SmCu3O7. The functional is PBEsol.

Results
Crystal system: orthorhombic
Formation energy (no corrections) in eV per atom: -1.8346
Theoretical density in g/cm3: 7.03

Cell: 3.828 3.884 11.561 Å, 90.00 90.00 90.00°
Fractional positions:
1 Ba 0.000 0.000 0.181
2 Ba 0.000 0.000 0.819
3 Sm 0.000 0.000 0.500
4 Cu 0.500 0.500 0.000
5 Cu 0.500 0.500 0.349
6 Cu 0.500 0.500 0.651
7 O 0.000 0.500 0.373
8 O 0.000 0.500 0.627
9 O 0.500 0.000 0.000
10 O 0.500 0.000 0.373
11 O 0.500 0.000 0.627
12 O 0.500 0.500 0.160
13 O 0.500 0.500 0.840



[15]
This record from the Alexandria database describes a relaxed structure of Rb3Ag9Sb4S12. The functional is PBEsol.

Results
Crystal system: tetragonal
Formation energy (no corrections) in eV per atom: -0.3646
Theoretical density in g/cm3: 5.21

Cell: 9.558 9.558 9.558 Å, 111.99 111.99 104.55°
Fractional positions:
1 Rb 0.000 0.000 0.000
2 Rb 0.327 0.327 0.000
3 Rb 0.673 0.673 0.000
4 Ag 0.002 0.511 0.173
5 Ag 0.008 0.505 0.860
6 Ag 0.172 0.998 0.510
7 Ag 0.338 0.828 0.827
8 Ag 0.489 0.662 0.490
9 Ag 0.495 0.356 0.504
10 Ag 0.644 0.148 0.140
11 Ag 0.750 0.250 0.500
12 Ag 0.852 0.992 0.496
13 Sb 0.140 0.408 0.521
14 Sb 0.381 0.860 0.269
15 Sb 0.592 0.113 0.731
16 Sb 0.887 0.619 0.479
17 S 0.091 0.793 0.207
18 S 0.116 0.909 0.702
19 S 0.207 0.414 0.298
20 S 0.311 0.661 0.972
21 S 0.339 0.311 0.650
22 S 0.429 0.105 0.227
23 S 0.586 0.884 0.793
24 S 0.661 0.689 0.350
25 S 0.689 0.339 0.028
26 S 0.798 0.571 0.676
27 S 0.878 0.202 0.773
28 S 0.895 0.122 0.324



[16]
This record from the Alexandria database describes a relaxed structure of Ba3C. The functional is PBEsol.

Results
Crystal system: cubic
Offset from the most stable computed form in meV per atom: 801.2
Theoretical density in g/cm3: 5.66

Cell: 6.288 6.288 6.288 Å, 90.00 90.00 90.00°
Fractional positions:
1 Ba 0.000 0.250 0.500
2 Ba 0.000 0.750 0.500
3 Ba 0.250 0.500 0.000
4 Ba 0.500 0.000 0.250
5 Ba 0.500 0.000 0.750
6 Ba 0.750 0.500 0.000
7 C 0.000 0.000 0.000
8 C 0.500 0.500 0.500



[17]
This record from the Alexandria database describes a relaxed structure of RbTaRu3. The functional is PBEsol.

Results
Crystal system: cubic
Offset from the most stable computed form in meV per atom: 1403.8
Theoretical density in g/cm3: 10.23

Cell: 4.522 4.522 4.522 Å, 90.00 90.00 90.00°
Fractional positions:
1 Rb 0.000 0.000 0.000
2 Ta 0.500 0.500 0.500
3 Ru 0.000 0.000 0.500
4 Ru 0.000 0.500 0.000
5 Ru 0.500 0.000 0.000



[18]
This record from the Alexandria database describes a relaxed structure of La3SnN. The functional is PBEsol.

Results
Crystal system: cubic
Formation energy (no corrections) in eV per atom: -1.0796
Theoretical density in g/cm3: 7.12

Cell: 5.041 5.041 5.041 Å, 90.00 90.00 90.00°
Fractional positions:
1 La 0.000 0.000 0.500
2 La 0.000 0.500 0.000
3 La 0.500 0.000 0.000
4 Sn 0.500 0.500 0.500
5 N 0.000 0.000 0.000



[19]
This record from the Alexandria database describes a relaxed structure of PRhAu. The functional is PBEsol.

Results
Raw total energy in eV per atom: -5.33
Crystal system: cubic
Theoretical density in g/cm3: 10.49

Cell: 4.200 4.200 4.200 Å, 60.00 60.00 60.00°
Fractional positions:
1 P 0.000 0.000 0.000
2 Rh 0.500 0.500 0.500
3 Au 0.750 0.750 0.750



[20]
This record from the Alexandria database describes a relaxed structure of TaCu2Sb. The functional is PBEsol.

Results
Crystal system: tetragonal
Formation energy (no corrections) in eV per atom: 0.3187
Theoretical density in g/cm3: 11.34

Cell: 4.971 4.971 4.971 Å, 133.80 133.80 67.40°
Fractional positions:
1 Ta 0.000 0.000 0.000
2 Cu 0.250 0.750 0.500
3 Cu 0.750 0.250 0.500
4 Sb 0.500 0.500 0.000